No. 1
Here is a relaxed V2Ni2Pd crystal from Alexandria via LeMat-Bulk. Energies are from PBE-GGA.

a = 7.0598 Å, b = 7.0598 Å, c = 2.6257 Å
α = 90.00°, β = 90.00°, γ = 90.00°
Closest atoms and distances in Å follow each position.
Sites, in units of the cell vectors:
Ni  0.1755  0.6755  0.5000  6 V 2.44-2.49, 2 Ni 2.63
Ni  0.6755  0.8245  0.5000  6 V 2.44-2.49, 2 Ni 2.63
Ni  0.8245  0.3245  0.5000  6 V 2.44-2.49, 2 Ni 2.63
Ni  0.3245  0.1755  0.5000  6 V 2.44-2.49, 2 Ni 2.63
Pd  0.0000  0.0000  0.0000  2 Pd 2.63, 4 V 2.82, 8 Ni 2.92
Pd  0.5000  0.5000  0.0000  2 Pd 2.63, 4 V 2.82, 8 Ni 2.92
V  0.3810  0.8810  0.0000  3 V 2.38-2.63, 6 Ni 2.44-2.49
V  0.8810  0.6190  0.0000  3 V 2.38-2.63, 6 Ni 2.44-2.49
V  0.6190  0.1190  0.0000  3 V 2.38-2.63, 6 Ni 2.44-2.49
V  0.1190  0.3810  0.0000  3 V 2.38-2.63, 6 Ni 2.44-2.49

Results
As for the formation energy: 0.01 eV per atom. For the density of states at the Fermi level, the calculation gives 1.315 states/eV/atom. For the total magnetic moment, the calculation gives 0.001 μB per formula unit.

***

No. 2
Here is a relaxed NaNb3N crystal from Alexandria via LeMat-Bulk. Energies are from PBE-GGA.

a = 4.3454 Å, b = 4.3454 Å, c = 4.3454 Å
α = 90.00°, β = 90.00°, γ = 90.00°
Closest atoms and distances in Å follow each position.
Sites, in units of the cell vectors:
Na  0.5000  0.5000  0.5000  12 Nb 3.07
Nb  0.0000  0.5000  0.0000  2 N 2.17
Nb  0.0000  0.0000  0.5000  2 N 2.17
Nb  0.5000  0.0000  0.0000  2 N 2.17
N  0.0000  0.0000  0.0000  6 Nb 2.17

Results
For the density of states at the Fermi level, the calculation gives 1.063 states/eV/atom. As for the raw formation energy: 0.32 eV/f.u. For the total magnetic moment, the calculation gives 0.000 μB per formula unit.